Density functional theory data (PBE) for crystalline AcMgInGe at its relaxed geometry.

```
data_AcMgInGe
_chemical_formula_sum 'Ac1 Mg1 In1 Ge1'
_cell_length_a 5.354
_cell_length_b 5.354
_cell_length_c 5.354
_cell_angle_alpha 60.00
_cell_angle_beta 60.00
_cell_angle_gamma 60.00
_symmetry_space_group_name_H-M 'P 1'
_symmetry_Int_Tables_number 1
_symmetry_space_group_name_Hall 'P 1'
loop_
_atom_site_label
_atom_site_fract_x
_atom_site_fract_y
_atom_site_fract_z
_atom_site_occupancy
Mg1 0.500 0.500 0.500 1
Ac1 0.000 0.000 0.000 1
Ge1 0.250 0.250 0.250 1
In1 0.750 0.750 0.750 1
```

## Properties
Space group: F-43m
Energy of formation (eV/f.u.): -1.14

Density functional theory data (PBE) for crystalline Ac2In2Ge4Mo at its relaxed geometry.

```
data_Ac2In2Ge4Mo
_chemical_formula_sum 'Ac2 In2 Ge4 Mo1'
_cell_length_a 6.692
_cell_length_b 6.692
_cell_length_c 6.692
_cell_angle_alpha 93.22
_cell_angle_beta 118.16
_cell_angle_gamma 118.16
_symmetry_space_group_name_H-M 'P 1'
_symmetry_Int_Tables_number 1
_symmetry_space_group_name_Hall 'P 1'
loop_
_atom_site_label
_atom_site_fract_x
_atom_site_fract_y
_atom_site_fract_z
_atom_site_occupancy
Ac1 0.500 0.750 0.250 1
Ac2 0.500 0.250 0.750 1
In1 0.000 0.694 0.694 1
In2 0.000 0.306 0.306 1
Ge1 0.000 0.735 0.265 1
Ge2 0.470 0.735 0.735 1
Ge3 0.000 0.265 0.735 1
Ge4 0.530 0.265 0.265 1
Mo1 0.000 0.000 0.000 1
```

## Properties
Space group: I4/mmm
Energy of formation (eV/f.u.): -2.75

Density functional theory data (PBE) for crystalline Ac4InGeN at its relaxed geometry.

```
data_Ac4InGeN
_chemical_formula_sum 'Ac8 In2 Ge2 N2'
_cell_length_a 7.223
_cell_length_b 7.263
_cell_length_c 9.532
_cell_angle_alpha 90.00
_cell_angle_beta 112.27
_cell_angle_gamma 90.00
_symmetry_space_group_name_H-M 'P 1'
_symmetry_Int_Tables_number 1
_symmetry_space_group_name_Hall 'P 1'
loop_
_atom_site_label
_atom_site_fract_x
_atom_site_fract_y
_atom_site_fract_z
_atom_site_occupancy
Ac1 0.937 0.250 0.874 1
Ac2 0.418 0.750 0.835 1
Ac3 0.063 0.750 0.126 1
Ac4 0.582 0.250 0.165 1
Ac5 0.500 0.500 0.500 1
Ac6 0.000 0.000 0.500 1
Ac7 0.500 0.000 0.500 1
Ac8 0.000 0.500 0.500 1
In1 0.612 0.750 0.224 1
In2 0.388 0.250 0.776 1
Ge1 0.116 0.250 0.233 1
Ge2 0.884 0.750 0.767 1
N1 0.275 0.750 0.551 1
N2 0.725 0.250 0.449 1
```

## Properties
Space group: Cmcm
VASP energy (eV/atom): -5.22